TiAlV3: optimized geometry, GGA-PBE.

Cell: 2.7054 4.8976 11.3193 Å, 81.48 83.14 90.00°
With the nearest neighbours (Å) after each atom.
Atoms (fractional coordinates):
Ti  0.8937  0.4330  0.2127  5 V 2.66-2.69, 2 Ti 2.71, 4 Al 2.78-2.83
Ti  0.1063  0.5670  0.7873  5 V 2.66-2.69, 2 Ti 2.71, 4 Al 2.78-2.83
Al  0.5960  0.0660  0.8080  2 Al 2.71, 4 Ti 2.78-2.83, 7 V 2.79-2.88
Al  0.4040  0.9340  0.1920  2 Al 2.71, 4 Ti 2.78-2.83, 7 V 2.79-2.88
V  0.9993  0.2483  0.0015  4 V 2.44-2.71, 2 Ti 2.66-2.67
V  0.0007  0.7517  0.9985  4 V 2.44-2.71, 2 Ti 2.66-2.67
V  0.2963  0.5349  0.4074  4 V 2.46-2.71, 2 Ti 2.68
V  0.7037  0.4651  0.5926  4 V 2.46-2.71, 2 Ti 2.68
V  0.2017  0.9704  0.5966  8 V 2.54-2.83, 1 Ti 2.69, 2 Al 2.83
V  0.7983  0.0296  0.4034  8 V 2.54-2.83, 1 Ti 2.69, 2 Al 2.83

The space-group type is C2/m. The final energy comes out at -7.798 eV/atom. As for the density of states at the Fermi level: 0.919 states/eV/atom. Its formation energy is 0.0011 eV per atom.